VASP calculation (GGA-PBE) on a geometry-optimized TmGeTe2AuS structure.

Cell: 4.152 14.789 9.880 Å, 90.00 90.00 90.00°
Space group Cmcm (No. 63)
Unique sites:
Tm  0.000  0.000  0.000 x4
Ge  0.000  0.235  0.250 x4
Te  0.000  0.344  0.554 x8
Au  0.000  0.482  0.750 x4
S  0.000  0.079  0.750 x4

**Total DFT energy (no corrections)**: -4.362 eV/atom


VASP calculation (GGA-PBE) on a geometry-optimized DyY2Tm3Sb2Os structure.

Cell: 4.210 14.071 8.111 Å, 90.00 90.00 90.00°
Space group Amm2 (No. 38)
Unique sites:
Dy  0.000  0.000  0.000 x2
Y  0.000  0.197  0.592 x4
Tm  0.500  0.000  0.629 x2
Tm  0.500  0.117  0.277 x4
Sb  0.500  0.167  0.894 x4
Os  0.000  0.000  0.394 x2

**Total DFT energy (no corrections)**: -6.312 eV/atom


What did the second record say?
VASP calculation (GGA-PBE) on a geometry-optimized DyY2Tm3Sb2Os structure.

Cell: 4.210 14.071 8.111 Å, 90.00 90.00 90.00°
Space group Amm2 (No. 38)
Unique sites:
Dy  0.000  0.000  0.000 x2
Y  0.000  0.197  0.592 x4
Tm  0.500  0.000  0.629 x2
Tm  0.500  0.117  0.277 x4
Sb  0.500  0.167  0.894 x4
Os  0.000  0.000  0.394 x2

**Total DFT energy (no corrections)**: -6.312 eV/atom